Computed, not measured: a relaxed structure of Cs2NaSb2 at the PBE level of DFT.

Cell: 13.6243 13.6243 13.6243 Å, 161.27 161.27 26.61°
Positions (direct):
Cs: 0.1304 0.1304 0.0000
Cs: 0.8696 0.8696 0.0000
Na: 0.5000 0.5000 0.0000
Sb: 0.2500 0.7500 0.5000
Sb: 0.7500 0.2500 0.5000

Summary:
space-group type: No. 139
size of the total moment: 0.0 μB per formula unit
energy above the most stable polymorph in this dataset: 249 meV per atom
V: 261 Å³ per cell
density of states at the Fermi level: 3.71 states/eV/f.u.
energy relative to the elements, uncorrected: -115 meV per atom

Computed, not measured: a relaxed structure of CsNaSb2 at the PBE level of DFT.

Cell: 11.5944 11.5944 11.5944 Å, 150.66 150.66 41.97°
Positions (direct):
Cs: 0.0000 0.0000 0.0000
Cs: 0.7500 0.2500 0.5000
Na: 0.2500 0.7500 0.5000
Na: 0.5000 0.5000 0.0000
Sb: 0.3534 0.6250 0.2284
Sb: 0.3750 0.6034 0.7284
Sb: 0.3966 0.1250 0.7716
Sb: 0.8750 0.6466 0.2716

Summary:
space-group type: No. 122
size of the total moment: 0.0 μB per formula unit
energy above the most stable polymorph in this dataset: 171 meV per atom
V: 373 Å³ per cell
density of states at the Fermi level: 2.37 states/eV/f.u.
energy relative to the elements, uncorrected: -188 meV per atom

Computed, not measured: a relaxed structure of Cs2NaSb2 at the PBE level of DFT.

Cell: 11.3545 11.3545 3.5077 Å, 90.00 90.00 90.00°
Positions (direct):
Cs: 0.1180 0.3820 0.0000
Cs: 0.3820 0.8820 0.0000
Cs: 0.6180 0.1180 0.0000
Cs: 0.8820 0.6180 0.0000
Na: 0.0000 0.0000 0.0000
Na: 0.5000 0.5000 0.0000
Sb: 0.1798 0.6798 0.5000
Sb: 0.3202 0.1798 0.5000
Sb: 0.6798 0.8202 0.5000
Sb: 0.8202 0.3202 0.5000

Summary:
space-group type: No. 127
size of the total moment: 0.0 μB per formula unit
energy above the most stable polymorph in this dataset: 350 meV per atom
V: 452 Å³ per cell
density of states at the Fermi level: 3.85 states/eV/f.u.
energy relative to the elements, uncorrected: -13 meV per atom

Computed, not measured: a relaxed structure of CsNaSb2 at the PBE level of DFT.

Cell: 5.8737 5.8737 5.8737 Å, 60.00 60.00 60.00°
Positions (direct):
Cs: 0.0000 0.0000 0.0000
Na: 0.5000 0.5000 0.5000
Sb: 0.2500 0.2500 0.2500
Sb: 0.7500 0.7500 0.7500

Summary:
space-group type: No. 225
size of the total moment: 0.0 μB per formula unit
energy above the most stable polymorph in this dataset: 441 meV per atom
V: 143 Å³ per cell
density of states at the Fermi level: 3.05 states/eV/f.u.
energy relative to the elements, uncorrected: 82 meV per atom

Computed, not measured: a relaxed structure of CsNa5Sb2 at the PBE level of DFT.

Cell: 8.2613 8.2613 8.2613 Å, 142.20 109.59 82.79°
Positions (direct):
Cs: 0.0000 0.0000 0.0000
Na: 0.1282 0.3032 0.8250
Na: 0.4782 0.3032 0.1750
Na: 0.5000 0.0000 0.5000
Na: 0.5218 0.6968 0.8250
Na: 0.8718 0.6968 0.1750
Sb: 0.2554 0.7554 0.5000
Sb: 0.7446 0.2446 0.5000

Summary:
space-group type: No. 71
size of the total moment: 0.0 μB per formula unit
V: 316 Å³ per cell
density of states at the Fermi level: 0.99 states/eV/f.u.
energy relative to the elements, uncorrected: -399 meV per atom

Computed, not measured: a relaxed structure of Cs2NaSb2 at the PBE level of DFT.

Cell: 8.5217 8.5217 6.1610 Å, 90.00 90.00 90.00°
Positions (direct):
Cs: 0.1711 0.3289 0.0000
Cs: 0.3289 0.8289 0.0000
Cs: 0.6711 0.1711 0.0000
Cs: 0.8289 0.6711 0.0000
Na: 0.0000 0.0000 0.5000
Na: 0.5000 0.5000 0.5000
Sb: 0.1177 0.6177 0.5000
Sb: 0.3823 0.1177 0.5000
Sb: 0.6177 0.8823 0.5000
Sb: 0.8823 0.3823 0.5000

Summary:
space-group type: No. 127
size of the total moment: 0.3 μB per formula unit
energy above the most stable polymorph in this dataset: 34 meV per atom
V: 447 Å³ per cell
density of states at the Fermi level: 4.77 states/eV/f.u.
energy relative to the elements, uncorrected: -329 meV per atom

Computed, not measured: a relaxed structure of CsNa2Sb6 at the PBE level of DFT.

Cell: 9.2885 9.2885 4.2871 Å, 102.56 102.56 67.01°
Positions (direct):
Cs: 0.0000 0.0000 0.0000
Na: 0.3498 0.3498 0.8548
Na: 0.6502 0.6502 0.1452
Sb: 0.0407 0.5880 0.3110
Sb: 0.3596 0.6404 0.5000
Sb: 0.4120 0.9593 0.6890
Sb: 0.5880 0.0407 0.3110
Sb: 0.6404 0.3596 0.5000
Sb: 0.9593 0.4120 0.6890

Summary:
space-group type: No. 12
size of the total moment: 0.0 μB per formula unit
V: 329 Å³ per cell
density of states at the Fermi level: 1.51 states/eV/f.u.
energy relative to the elements, uncorrected: -178 meV per atom

Computed, not measured: a relaxed structure of CsNa3Sb at the PBE level of DFT.

Cell: 6.1466 6.1466 6.1466 Å, 90.00 90.00 90.00°
Positions (direct):
Cs: 0.0000 0.0000 0.0000
Na: 0.0000 0.5000 0.5000
Na: 0.5000 0.0000 0.5000
Na: 0.5000 0.5000 0.0000
Sb: 0.5000 0.5000 0.5000

Summary:
space-group type: No. 221
size of the total moment: 0.0 μB per formula unit
energy above the most stable polymorph in this dataset: 0 meV per atom
V: 232 Å³ per cell
density of states at the Fermi level: 3.89 states/eV/f.u.
energy relative to the elements, uncorrected: -234 meV per atom